PBE-GGA CeDyLuHg, relaxed; calculated volume = 104.2 Å³/cell; space-group type = No. 216; ΔE_f = 25.0 meV per atom; electronic total energy = -3.81 eV/atom; density of states at the Fermi level = 7.381 states/eV/f.u.
1.0
0.0000 3.7347 3.7347
3.7347 0.0000 3.7347
3.7347 3.7347 0.0000
Ce Dy Lu Hg
1 1 1 1
direct
0.0000 0.0000 0.0000
0.7500 0.7500 0.7500
0.2500 0.2500 0.2500
0.5000 0.5000 0.5000



PBE-GGA ZnCrPb, relaxed; calculated volume = 61.8 Å³/cell; space-group type = No. 107; ΔE_f = 433.5 meV per atom; electronic total energy = -4.44 eV/atom; density of states at the Fermi level = 1.798 states/eV/f.u.
1.0
-1.6331 1.6331 5.7909
1.6331 -1.6331 5.7909
1.6331 1.6331 -5.7909
Zn Cr Pb
1 1 1
direct
0.0000 0.0000 0.0000
0.3793 0.3793 0.0000
0.6957 0.6957 0.0000



PBE-GGA La4Te2PbBr, relaxed; calculated volume = 539.6 Å³/cell; space-group type = No. 74; electronic total energy = -5.22 eV/atom; density of states at the Fermi level = 5.258 states/eV/f.u.; formation energy without anion corrections = -1297.7 meV per atom
1.0
-4.5655 4.5797 6.4523
4.5655 -4.5797 6.4523
4.5655 4.5797 -6.4523
La Te Pb Br
8 4 2 2
direct
0.2501 0.2492 0.4991
0.2501 0.7510 0.0009
0.2521 0.2493 0.0027
0.2534 0.7507 0.5027
0.7466 0.2493 0.4973
0.7479 0.7507 0.9973
0.7499 0.2490 0.9991
0.7499 0.7508 0.5009
0.0000 0.5000 0.5000
0.5000 0.0000 0.0000
0.5000 0.5000 0.0000
0.5000 0.5000 0.5000
0.0000 0.0000 0.0000
0.5000 0.0000 0.5000
0.0000 0.0000 0.5000
0.0000 0.5000 0.0000